1.
# Pr5Dy4Er2, optimized geometry, DFT GGA-PBE
data_Pr5Dy4Er2
_chemical_formula_sum 'Pr10 Dy8 Er4'
_cell_length_a 17.774
_cell_length_b 3.566
_cell_length_c 11.686
_cell_angle_alpha 90.00
_cell_angle_beta 93.96
_cell_angle_gamma 90.00
_symmetry_space_group_name_H-M 'C 1 2/m 1'
_symmetry_Int_Tables_number 12
loop_
_symmetry_equiv_pos_as_xyz
'x,y,z'
'-x,-y,-z'
'-x,y,-z'
'x,-y,z'
'x+1/2,y+1/2,z'
'-x+1/2,-y+1/2,-z'
'-x+1/2,y+1/2,-z'
'x+1/2,-y+1/2,z'
loop_
_atom_site_label
_atom_site_type_symbol
_atom_site_fract_x
_atom_site_fract_y
_atom_site_fract_z
Pr1 Pr 0.000 0.000 0.000
Pr2 Pr 0.097 0.500 0.536
Pr3 Pr 0.177 0.500 0.072
Dy1 Dy 0.036 0.500 0.262
Dy2 Dy 0.141 0.000 0.795
Er1 Er 0.216 0.000 0.353
# crystal system	monoclinic
# electronic total energy	-101.2	eV per cell

2.
# Pr10Dy4Er, optimized geometry, DFT GGA-PBE
data_Pr10Dy4Er
_chemical_formula_sum 'Pr20 Dy8 Er2'
_cell_length_a 12.429
_cell_length_b 12.429
_cell_length_c 7.869
_cell_angle_alpha 90.00
_cell_angle_beta 90.00
_cell_angle_gamma 90.00
_symmetry_space_group_name_H-M 'I 4/m'
_symmetry_Int_Tables_number 87
_symmetry_space_group_name_Hall '-I 4'
loop_
_atom_site_label
_atom_site_type_symbol
_atom_site_fract_x
_atom_site_fract_y
_atom_site_fract_z
Pr1 Pr 0.000 0.500 0.250
Pr2 Pr 0.099 0.800 0.249
Dy1 Dy 0.100 0.299 0.500
Er1 Er 0.000 0.000 0.000
# crystal system	tetragonal
# electronic total energy	-121.2	eV per cell

3.
# Pr2Dy5Er12, optimized geometry, DFT GGA-PBE
data_Pr2Dy5Er12
_chemical_formula_sum 'Pr4 Dy10 Er24'
_cell_length_a 15.722
_cell_length_b 9.179
_cell_length_c 8.475
_cell_angle_alpha 90.00
_cell_angle_beta 91.21
_cell_angle_gamma 90.00
_symmetry_space_group_name_H-M 'C 1 2/m 1'
_symmetry_Int_Tables_number 12
loop_
_symmetry_equiv_pos_as_xyz
'x,y,z'
'-x,-y,-z'
'-x,y,-z'
'x,-y,z'
'x+1/2,y+1/2,z'
'-x+1/2,-y+1/2,-z'
'-x+1/2,y+1/2,-z'
'x+1/2,-y+1/2,z'
loop_
_atom_site_label
_atom_site_type_symbol
_atom_site_fract_x
_atom_site_fract_y
_atom_site_fract_z
Pr1 Pr 0.000 0.187 0.000
Dy1 Dy 0.000 0.500 0.500
Dy2 Dy 0.197 0.000 0.007
Dy3 Dy 0.233 0.500 0.577
Er1 Er 0.057 0.000 0.329
Er2 Er 0.095 0.500 0.883
Er3 Er 0.126 0.191 0.651
Er4 Er 0.157 0.319 0.246
# crystal system	monoclinic
# electronic total energy	-169.5	eV per cell

4.
# Pr2DyEr2, optimized geometry, DFT GGA-PBE
data_Pr2DyEr2
_chemical_formula_sum 'Pr4 Dy2 Er4'
_cell_length_a 6.245
_cell_length_b 3.613
_cell_length_c 14.721
_cell_angle_alpha 90.00
_cell_angle_beta 98.28
_cell_angle_gamma 90.00
_symmetry_space_group_name_H-M 'C 1 2/m 1'
_symmetry_Int_Tables_number 12
loop_
_symmetry_equiv_pos_as_xyz
'x,y,z'
'-x,-y,-z'
'-x,y,-z'
'x,-y,z'
'x+1/2,y+1/2,z'
'-x+1/2,-y+1/2,-z'
'-x+1/2,y+1/2,-z'
'x+1/2,-y+1/2,z'
loop_
_atom_site_label
_atom_site_type_symbol
_atom_site_fract_x
_atom_site_fract_y
_atom_site_fract_z
Pr1 Pr 0.133 0.000 0.392
Dy1 Dy 0.000 0.000 0.000
Er1 Er 0.101 0.500 0.807
# crystal system	monoclinic
# electronic total energy	-46.5	eV per cell

5.
# Pr3Dy3Er2, optimized geometry, DFT GGA-PBE
data_Pr3Dy3Er2
_chemical_formula_sum 'Pr6 Dy6 Er4'
_cell_length_a 16.454
_cell_length_b 5.739
_cell_length_c 6.026
_cell_angle_alpha 90.00
_cell_angle_beta 110.46
_cell_angle_gamma 90.00
_symmetry_space_group_name_H-M 'C 1 2/m 1'
_symmetry_Int_Tables_number 12
loop_
_symmetry_equiv_pos_as_xyz
'x,y,z'
'-x,-y,-z'
'-x,y,-z'
'x,-y,z'
'x+1/2,y+1/2,z'
'-x+1/2,-y+1/2,-z'
'-x+1/2,y+1/2,-z'
'x+1/2,-y+1/2,z'
loop_
_atom_site_label
_atom_site_type_symbol
_atom_site_fract_x
_atom_site_fract_y
_atom_site_fract_z
Pr1 Pr 0.000 0.000 0.000
Pr2 Pr 0.136 0.000 0.697
Dy1 Dy 0.000 0.500 0.500
Dy2 Dy 0.133 0.500 0.082
Er1 Er 0.250 0.000 0.318
# crystal system	monoclinic
# electronic total energy	-73.2	eV per cell

6.
# Pr4DyEr4, optimized geometry, DFT GGA-PBE
data_Pr4DyEr4
_chemical_formula_sum 'Pr8 Dy2 Er8'
_cell_length_a 10.823
_cell_length_b 10.823
_cell_length_c 5.077
_cell_angle_alpha 90.00
_cell_angle_beta 90.00
_cell_angle_gamma 90.00
_symmetry_space_group_name_H-M 'I 4/m m m'
_symmetry_Int_Tables_number 139
_symmetry_space_group_name_Hall '-I 4 2'
loop_
_atom_site_label
_atom_site_type_symbol
_atom_site_fract_x
_atom_site_fract_y
_atom_site_fract_z
Pr1 Pr 0.167 0.167 0.000
Dy1 Dy 0.000 0.000 0.500
Er1 Er 0.000 0.336 0.500
# crystal system	tetragonal
# electronic total energy	-83.5	eV per cell

Listing formation enthalpy at 0 K for the structures above in their given order: 0.08 0.68 0.13 0.01 0.08 0.02 eV per atom.
Listing spin magnetization for the structures above in their given order: 0.000 0.000 0.000 0.000 0.000 0.000 μB/atom.